# 1
Ca4Rh | PBE-GGA | optimized geometry

Cell: 7.8830 7.8830 6.5195 Å, 90.00 90.00 119.36°
With the nearest neighbours (Å) after each atom.
Atoms (fractional coordinates):
Ca 0.1641 0.8359 0.7577  1 Rh 2.74
Ca 0.1677 0.3323 0.7500  2 Rh 2.81
Ca 0.3323 0.1677 0.2500  2 Rh 2.81
Ca 0.3359 0.6641 0.2577  1 Rh 2.74
Ca 0.6641 0.3359 0.7423  1 Rh 2.74
Ca 0.6677 0.8323 0.7500  2 Rh 2.81
Ca 0.8323 0.6677 0.2500  2 Rh 2.81
Ca 0.8359 0.1641 0.2423  1 Rh 2.74
Rh 0.0000 0.0000 0.0000  6 Ca 2.74-2.81
Rh 0.5000 0.5000 0.5000  6 Ca 2.74-2.81

Output
E_form: -0.23 eV/atom
Symmetry: Cmce, No. 64
DOS at the Fermi energy: 0.690 states/eV per atom
Energy relative to the lowest polymorph listed for this composition: 0 meV per atom


# 2
Ca6Rh7 | PBE-GGA | optimized geometry

Cell: 10.2664 10.2664 10.2664 Å, 31.50 31.50 31.50°
With the nearest neighbours (Å) after each atom.
Atoms (fractional coordinates):
Ca 0.0581 0.0581 0.0581  1 Ca 2.89, 6 Rh 2.96
Ca 0.1571 0.1571 0.1571  1 Ca 2.89, 6 Rh 2.91-3.23
Ca 0.3392 0.3392 0.3392  6 Rh 3.02-3.29, 3 Ca 3.24
Ca 0.6608 0.6608 0.6608  6 Rh 3.02-3.29, 3 Ca 3.24
Ca 0.8429 0.8429 0.8429  1 Ca 2.89, 6 Rh 2.91-3.23
Ca 0.9419 0.9419 0.9419  1 Ca 2.89, 6 Rh 2.96
Rh 0.0877 0.5953 0.5953  5 Rh 2.71-2.83, 4 Ca 2.91-3.02
Rh 0.4047 0.4047 0.9123  5 Rh 2.71-2.83, 4 Ca 2.91-3.02
Rh 0.4047 0.9123 0.4047  5 Rh 2.71-2.83, 4 Ca 2.91-3.02
Rh 0.5000 0.5000 0.5000  6 Rh 2.71
Rh 0.5953 0.0877 0.5953  5 Rh 2.71-2.83, 4 Ca 2.91-3.02
Rh 0.5953 0.5953 0.0877  5 Rh 2.71-2.83, 4 Ca 2.91-3.02
Rh 0.9123 0.4047 0.4047  5 Rh 2.71-2.83, 4 Ca 2.91-3.02

Output
E_form: -0.28 eV/atom
Symmetry: R-3m, No. 166
DOS at the Fermi energy: 0.893 states/eV per atom


# 3
CaRh3 | PBE-GGA | optimized geometry

Cell: 5.3067 9.1289 5.5019 Å, 90.00 90.00 90.00°
With the nearest neighbours (Å) after each atom.
Atoms (fractional coordinates):
Ca 0.0595 0.2500 0.1015  7 Rh 2.69-2.88
Ca 0.4405 0.7500 0.6015  7 Rh 2.69-2.88
Ca 0.5595 0.2500 0.3985  7 Rh 2.69-2.88
Ca 0.9405 0.7500 0.8985  7 Rh 2.69-2.88
Rh 0.0886 0.2500 0.6141  6 Rh 2.64-2.87, 3 Ca 2.69-2.82
Rh 0.1954 0.5132 0.3482  8 Rh 2.64-2.87, 2 Ca 2.85-2.88
Rh 0.1954 0.9868 0.3482  8 Rh 2.64-2.87, 2 Ca 2.85-2.88
Rh 0.3046 0.0132 0.8482  8 Rh 2.64-2.87, 2 Ca 2.85-2.88
Rh 0.3046 0.4868 0.8482  8 Rh 2.64-2.87, 2 Ca 2.85-2.88
Rh 0.4114 0.7500 0.1141  6 Rh 2.64-2.87, 3 Ca 2.69-2.82
Rh 0.5886 0.2500 0.8859  6 Rh 2.64-2.87, 3 Ca 2.69-2.82
Rh 0.6954 0.5132 0.1518  8 Rh 2.64-2.87, 2 Ca 2.85-2.88
Rh 0.6954 0.9868 0.1518  8 Rh 2.64-2.87, 2 Ca 2.85-2.88
Rh 0.8046 0.0132 0.6518  8 Rh 2.64-2.87, 2 Ca 2.85-2.88
Rh 0.8046 0.4868 0.6518  8 Rh 2.64-2.87, 2 Ca 2.85-2.88
Rh 0.9114 0.7500 0.3859  6 Rh 2.64-2.87, 3 Ca 2.69-2.82

Output
E_form: -0.09 eV/atom
Symmetry: Pnma, No. 62
DOS at the Fermi energy: 1.034 states/eV per atom


# 4
Ca5Rh | PBE-GGA | optimized geometry

Cell: 6.5653 6.5653 5.1372 Å, 90.00 90.00 120.00°
With the nearest neighbours (Å) after each atom.
Atoms (fractional coordinates):
Ca 0.0000 0.7140 0.0000  2 Rh 3.18, 6 Ca 3.25-3.49
Ca 0.2860 0.2860 0.0000  2 Rh 3.18, 6 Ca 3.25-3.49
Ca 0.3333 0.6667 0.5000  9 Ca 3.49-3.79, 3 Rh 3.79
Ca 0.6667 0.3333 0.5000  9 Ca 3.49-3.79, 3 Rh 3.79
Ca 0.7140 0.0000 0.0000  2 Rh 3.18, 6 Ca 3.25-3.49
Rh 0.0000 0.0000 0.5000  6 Ca 3.18

Output
E_form: 0.06 eV/atom
Symmetry: P-62m, No. 189
DOS at the Fermi energy: 0.918 states/eV per atom
Energy relative to the lowest polymorph listed for this composition: 292 meV per atom


> Which of these has the lowest E_form?

Ca6Rh7